ThV2AgO8 after structural relaxation. Source: the Alexandria database, functional PBE+U.

```
ThV2AgO8
1.0
5.957 0.000 0.000
-2.979 5.159 0.000
0.000 0.000 6.475
O Ag Th V
8 1 1 2
Direct
0.337 0.169 0.235
0.663 0.831 0.765
0.831 0.169 0.235
0.831 0.663 0.235
0.169 0.831 0.765
0.667 0.333 0.576
0.333 0.667 0.424
0.169 0.337 0.765
0.000 0.000 0.500
0.000 0.000 0.000
0.333 0.667 0.677
0.667 0.333 0.323
```

Properties
The value obtained for the final energy is -7.3578 eV/atom.